Record 1
{
  "formula": "ScTiPt2",
  "functional": "PBE",
  "state": "optimized geometry",
  "m_tot_mub_per_cell": 0.0,
  "formation_energy_ev_per_atom": -1.017,
  "spacegroup": "P4/mmm, No. 123",
  "n_ef_per_ev_cell": 3.95,
  "cell": [[3.1377, 0.0000, 0.0000], [0.0000, 3.1377, 0.0000], [0.0000, 0.0000, 6.9189]],
  "species": ["Sc", "Ti", "Pt", "Pt"],
  "frac_coords": [[0.0000, 0.0000, 0.0000], [0.0000, 0.0000, 0.5000], [0.5000, 0.5000, 0.2755], [0.5000, 0.5000, 0.7245]]
}

---

Record 2
{
  "formula": "ScTiPt",
  "functional": "PBE",
  "state": "optimized geometry",
  "m_tot_mub_per_cell": 0.0,
  "formation_energy_ev_per_atom": -0.682,
  "spacegroup": "I4mm, No. 107",
  "n_ef_per_ev_cell": 4.94,
  "de_polymorph_ev_per_fu": 0.023,
  "cell": [[-1.6293, 1.6293, 5.0350], [1.6293, -1.6293, 5.0350], [1.6293, 1.6293, -5.0350]],
  "species": ["Sc", "Ti", "Pt"],
  "frac_coords": [[0.0000, 0.0000, 0.0000], [0.3139, 0.3139, 0.0000], [0.6709, 0.6709, 0.0000]]
}

---

Record 3
{
  "formula": "ScTiPt2",
  "functional": "PBE",
  "state": "optimized geometry",
  "m_tot_mub_per_cell": 0.0,
  "formation_energy_ev_per_atom": -1.006,
  "spacegroup": "P4/mmm, No. 123",
  "n_ef_per_ev_cell": 2.90,
  "cell": [[4.8068, 0.0000, 0.0000], [0.0000, 4.8068, 0.0000], [0.0000, 0.0000, 2.9134]],
  "species": ["Sc", "Ti", "Pt", "Pt"],
  "frac_coords": [[0.0000, 0.0000, 0.0000], [0.5000, 0.5000, 0.0000], [0.0000, 0.5000, 0.5000], [0.5000, 0.0000, 0.5000]]
}

---

Record 4
{
  "formula": "Sc2TiPt3",
  "functional": "PBE",
  "state": "optimized geometry",
  "m_tot_mub_per_cell": 0.0,
  "formation_energy_ev_per_atom": -1.145,
  "spacegroup": "Immm, No. 71",
  "n_ef_per_ev_cell": 2.30,
  "cell": [[-1.6330, 2.1902, 7.4548], [1.6330, -2.1902, 7.4548], [1.6330, 2.1902, -7.4548]],
  "species": ["Sc", "Sc", "Ti", "Pt", "Pt", "Pt"],
  "frac_coords": [[0.1758, 0.1758, 0.0000], [0.8242, 0.8242, 0.0000], [0.5000, 0.0000, 0.5000], [0.0000, 0.5000, 0.5000], [0.3625, 0.3625, 0.0000], [0.6375, 0.6375, 0.0000]]
}